1.
Material: Ca2ZnPtO6
Method: DFT, PBE
State: optimized geometry

Cell: 5.4668 5.6886 9.4718 Å, 90.00 125.10 90.00°
Closest atoms and distances in Å follow each position.
Space group P2_1/c (No. 14)
Asymmetric unit:
Ca (0.2324, 0.0642, 0.2482) [4 per cell]  6 O 2.32-2.59
Zn (0.0000, 0.0000, 0.5000) [2 per cell]  6 O 2.07-2.13
Pt (0.5000, 0.0000, 0.0000) [2 per cell]  6 O 1.99-2.00
O (0.1511, 0.1913, 0.9487) [4 per cell]  1 Pt 2.00, 1 Zn 2.11
O (0.2592, 0.7081, 0.9441) [4 per cell]  1 Pt 1.99, 1 Zn 2.13
O (0.3590, 0.0343, 0.7547) [4 per cell]  1 Pt 1.99, 1 Zn 2.07

Computed properties:
The uncorrected energy comes out at -5.725 eV per atom. The value obtained for the formation energy from raw total energies is -1.618 eV/atom.

---

2.
Material: InFeN2
Method: DFT, PBE
State: optimized geometry

Cell: 3.3397 3.3397 17.8023 Å, 90.00 90.00 120.00°
Closest atoms and distances in Å follow each position.
Space group R-3m (No. 166, hexagonal axes)
Asymmetric unit:
In (0.0000, 0.0000, 0.0000) [3 per cell]  6 N 2.27
Fe (0.0000, 0.0000, 0.5000) [3 per cell]  2 N 1.77
N (0.0000, 0.0000, 0.4005) [6 per cell]  1 Fe 1.77

Computed properties:
The uncorrected energy comes out at -6.260 eV per atom. The value obtained for the formation energy from raw total energies is 0.703 eV/atom.

---

3.
Material: CaHgW4
Method: DFT, PBE
State: optimized geometry

Cell: 7.7313 7.7313 7.7313 Å, 90.00 90.00 90.00°
Closest atoms and distances in Å follow each position.
Space group F-43m (No. 216)
Asymmetric unit:
Ca (0.0000, 0.0000, 0.0000) [4 per cell]  12 W 3.20, 4 Hg 3.35
Hg (0.2500, 0.2500, 0.7500) [4 per cell]  12 W 3.21, 4 Ca 3.35
W (0.1255, 0.1255, 0.3745) [16 per cell]  6 W 2.72-2.74

Computed properties:
The uncorrected energy comes out at -8.340 eV per atom. The formation energy is 0.6792 eV per atom.

---

4.
Material: Sm2Ga3Ag5
Method: DFT, PBE
State: optimized geometry

Cell: 11.7577 11.9449 5.9578 Å, 90.00 90.00 90.00°
Closest atoms and distances in Å follow each position.
Space group Ibam (No. 72)
Asymmetric unit:
Sm (0.1308, 0.2355, 0.0000) [8 per cell]  4 Ag 3.12-3.28, 4 Ga 3.21-3.30
Ga (0.0000, 0.5000, 0.2500) [4 per cell]  6 Ag 2.67-2.87, 2 Ga 2.98
Ga (0.1302, 0.1347, 0.5000) [8 per cell]  5 Ag 2.57-2.67
Ag (0.0000, 0.0000, 0.2500) [4 per cell]  4 Ga 2.67, 2 Ag 2.98
Ag (0.1085, 0.3485, 0.5000) [8 per cell]  3 Ga 2.57-2.67, 2 Ag 2.83
Ag (0.2438, 0.5000, 0.2500) [8 per cell]  3 Ga 2.65-2.87, 2 Ag 2.83

Computed properties:
The uncorrected energy comes out at -3.562 eV per atom. The formation energy is -0.2842 eV per atom.

---

5.
Material: DyZn6Ni12
Method: DFT, PBE
State: optimized geometry

Cell: 10.4973 10.4973 8.0814 Å, 90.00 90.00 120.00°
Closest atoms and distances in Å follow each position.
Space group R-3m (No. 166, hexagonal axes)
Asymmetric unit:
Dy (0.0000, 0.0000, 0.0000) [3 per cell]  6 Ni 2.79
Zn (0.0542, 0.5271, 0.2375) [18 per cell]  8 Ni 2.35-2.59
Ni (0.0000, 0.3900, 0.5000) [18 per cell]  3 Ni 2.31-2.51, 4 Zn 2.35-2.46
Ni (0.0815, 0.1631, 0.2926) [18 per cell]  4 Zn 2.47-2.59, 4 Ni 2.51-2.57

Computed properties:
The uncorrected energy comes out at -4.285 eV per atom. The formation energy is 0.0108 eV per atom.

---

6.
Material: ScCuC
Method: DFT, PBE
State: optimized geometry

Cell: 3.2737 3.2737 3.8088 Å, 90.00 90.00 90.00°
Closest atoms and distances in Å follow each position.
Space group P4/mmm (No. 123)
Asymmetric unit:
Sc (0.0000, 0.0000, 0.0000) [1 per cell]  4 C 2.31
Cu (0.5000, 0.5000, 0.5000) [1 per cell]  2 C 1.90
C (0.5000, 0.5000, 0.0000) [1 per cell]  2 Cu 1.90

Computed properties:
The uncorrected energy comes out at -6.667 eV per atom. The formation energy is -0.1164 eV per atom.

---

7.
Material: LiMg4Ag
Method: DFT, PBE
State: optimized geometry

Cell: 4.7404 20.8609 5.4532 Å, 90.00 90.00 90.00°
Closest atoms and distances in Å follow each position.
Space group Cmc2_1 (No. 36)
Asymmetric unit:
Li (0.0000, 0.1425, 0.0000) [4 per cell]  2 Ag 2.77, 4 Mg 2.99-3.10
Mg (0.0000, 0.0682, 0.5316) [4 per cell]  2 Ag 2.83, 1 Li 2.99, 2 Mg 3.14
Mg (0.0000, 0.2609, 0.3421) [4 per cell]  1 Ag 2.83, 3 Mg 3.06-3.08, 1 Li 3.10
Mg (0.0000, 0.3336, 0.8293) [4 per cell]  1 Ag 2.78, 4 Mg 2.98-3.08, 2 Li 3.02
Mg (0.0000, 0.4714, 0.6870) [4 per cell]  2 Ag 2.72-2.82, 3 Mg 2.98
Ag (0.0000, 0.3957, 0.2804) [4 per cell]  6 Mg 2.72-2.83, 2 Li 2.77

Computed properties:
The uncorrected energy comes out at -1.862 eV per atom. The formation energy is -0.0045 eV per atom. The value obtained for the polymorph energy (0 for the lowest one) is 0.0 meV per atom.

---

8.
Material: PmPr
Method: DFT, PBE
State: optimized geometry

Cell: 10.4137 10.4137 10.4137 Å, 90.00 90.00 90.00°
Closest atoms and distances in Å follow each position.
Space group Fd-3m (No. 227, origin choice 2)
Asymmetric unit:
Pm (0.0000, 0.0000, 0.0000) [16 per cell]  6 Pm 3.68, 6 Pr 3.68
Pr (0.0000, 0.0000, 0.5000) [16 per cell]  6 Pr 3.68, 6 Pm 3.68

Computed properties:
The uncorrected energy comes out at -4.758 eV per atom. The formation energy is 0.0072 eV per atom. The value obtained for the polymorph energy (0 for the lowest one) is 0.0 meV per atom.

---

9.
Material: AcPm6Dy2Tm
Method: DFT, PBE
State: optimized geometry

Cell: 9.3679 15.4757 9.6512 Å, 90.00 95.34 90.00°
Closest atoms and distances in Å follow each position.
Space group C2/c (No. 15)
Asymmetric unit:
Ac (0.0000, 0.0267, 0.2500) [4 per cell]  4 Dy 3.52-3.63, 6 Pm 3.71-3.92
Pm (0.0577, 0.1864, 0.9453) [8 per cell]  7 Pm 3.50-3.82, 1 Dy 3.62, 2 Ac 3.81-3.92
Pm (0.1019, 0.3897, 0.1164) [8 per cell]  3 Dy 3.30-3.47, 4 Pm 3.30-3.56, 2 Tm 3.47-3.60
Pm (0.2175, 0.2252, 0.3135) [8 per cell]  5 Pm 3.30-3.68, 2 Dy 3.46-3.64, 1 Tm 3.51
Dy (0.2380, 0.4438, 0.4521) [8 per cell]  6 Pm 3.30-3.64, 2 Ac 3.52-3.63, 1 Tm 3.58
Tm (0.0000, 0.4139, 0.7500) [4 per cell]  6 Pm 3.47-3.60, 4 Dy 3.58-3.83

Computed properties:
The uncorrected energy comes out at -4.507 eV per atom. The formation energy is 0.1215 eV per atom.

---

10.
Material: TmScGa6
Method: DFT, PBE
State: optimized geometry

Cell: 4.1767 4.1767 8.3446 Å, 90.00 90.00 90.00°
Closest atoms and distances in Å follow each position.
Space group P4/mmm (No. 123)
Asymmetric unit:
Tm (0.0000, 0.0000, 0.0000) [1 per cell]  12 Ga 2.95-2.99
Sc (0.0000, 0.0000, 0.5000) [1 per cell]  12 Ga 2.91-2.95
Ga (0.0000, 0.5000, 0.2567) [4 per cell]  2 Sc 2.91, 8 Ga 2.91-2.99, 2 Tm 2.99
Ga (0.5000, 0.5000, 0.0000) [1 per cell]  4 Tm 2.95, 8 Ga 2.99
Ga (0.5000, 0.5000, 0.5000) [1 per cell]  8 Ga 2.91, 4 Sc 2.95

Computed properties:
The uncorrected energy comes out at -4.131 eV per atom. The formation energy is -0.5101 eV per atom. The value obtained for the polymorph energy (0 for the lowest one) is 0.0 meV per atom.

---

11.
Material: PmPr3Th4S8
Method: DFT, PBE
State: optimized geometry

Cell: 8.0734 8.0734 20.1454 Å, 90.00 90.00 120.00°
Closest atoms and distances in Å follow each position.
Space group R-3m (No. 166, hexagonal axes)
Asymmetric unit:
Pm (0.0000, 0.0000, 0.0000) [3 per cell]  6 S 2.86
Pr (0.0000, 0.5000, 0.0000) [9 per cell]  6 S 2.88
Th (0.0000, 0.0000, 0.5000) [3 per cell]  6 S 2.88
Th (0.0000, 0.5000, 0.5000) [9 per cell]  6 S 2.86
S (0.0000, 0.0000, 0.2491) [6 per cell]  3 Th 2.86, 3 Pr 2.88
S (0.0027, 0.5013, 0.7503) [18 per cell]  1 Pm 2.86, 3 Th 2.86-2.88, 2 Pr 2.88

Computed properties:
The uncorrected energy comes out at -7.038 eV per atom. The value obtained for the formation energy from raw total energies is -1.927 eV/atom.

---

12.
Material: CsI2N
Method: DFT, PBE
State: optimized geometry

Cell: 8.9810 8.9810 8.9810 Å, 90.00 90.00 90.00°
Closest atoms and distances in Å follow each position.
Space group Fm-3m (No. 225)
Asymmetric unit:
Cs (0.0000, 0.0000, 0.0000) [4 per cell]  8 I 3.89
I (0.2500, 0.2500, 0.2500) [8 per cell]  4 N 3.89, 4 Cs 3.89
N (0.0000, 0.0000, 0.5000) [4 per cell]  8 I 3.89

Computed properties:
The uncorrected energy comes out at -2.363 eV per atom. The value obtained for the formation energy from raw total energies is 0.707 eV/atom. The value obtained for the polymorph energy (0 for the lowest one) is 234.0 meV per atom.